This record from OQMD via LeMat-Bulk describes an optimized crystal structure of InFeHgW. The functional is PBE-GGA.

* SG: F-43m
* spin magnetization: 3.1 Bohr magnetons per cell
* total DFT energy (no corrections): -20.82 eV/cell
* relative energy among the computed polymorphs: 31.7 meV/atom

a = 4.635 Å, b = 4.635 Å, c = 4.635 Å
α = 60.00°, β = 60.00°, γ = 60.00°
Positions (direct):
W 0.250 0.250 0.250
In 0.000 0.000 0.000
Fe 0.750 0.750 0.750
Hg 0.500 0.500 0.500